No. 1
Material: BiTe3As
Method: DFT, GGA-PBE
State: relaxed

Calculated values
ΔE_f (raw)   -0.0872 eV per atom
Offset from the most stable computed form   0.00 eV per formula unit
Electronic total energy   -3.678 eV/atom

Structure (POSCAR):
```
BiTe3As
1.0
-2.970 -1.097 -2.812
5.191 -2.415 -4.539
-2.206 -9.369 5.985
Bi Te As
2 6 2
Cartesian
2.957 -5.645 -2.513
-2.941 -7.236 1.147
-2.390 -8.337 4.182
2.405 -4.545 -5.549
1.330 -2.764 -1.920
-1.314 -10.118 0.553
-0.437 -5.452 0.995
0.453 -7.429 -2.362
3.039 -2.067 -3.996
-3.023 -10.815 2.630
```


No. 2
Material: BiTeAs2
Method: DFT, GGA-PBE
State: relaxed

Calculated values
ΔE_f (raw)   0.2502 eV per atom
Offset from the most stable computed form   0.00 eV per formula unit
Electronic total energy   -3.830 eV/atom

Structure (POSCAR):
```
BiTeAs2
1.0
-4.826 -2.880 1.305
0.636 -3.216 -4.748
2.223 -8.383 2.471
As Te Bi
4 2 2
Cartesian
-2.303 -4.252 0.819
0.272 -4.513 -2.165
0.106 -8.626 0.486
-2.009 -11.570 -1.082
-2.095 -3.048 -1.721
0.382 -7.324 -1.999
0.000 0.000 0.000
-2.349 -7.156 1.028
```


No. 3
Material: Bi2TeAs2
Method: DFT, GGA-PBE
State: relaxed

Calculated values
ΔE_f (raw)   0.1180 eV per atom
Offset from the most stable computed form   0.00 eV per formula unit
Electronic total energy   -3.923 eV/atom

Structure (POSCAR):
```
Bi2TeAs2
1.0
4.225 0.000 0.000
0.000 4.225 0.000
2.112 2.112 7.887
As Te Bi
2 1 2
Cartesian
4.225 2.112 3.943
2.112 4.225 3.943
0.000 0.000 0.000
2.112 2.112 1.764
4.225 4.225 6.123
```


No. 4
Material: BiTeAs
Method: DFT, GGA-PBE
State: relaxed

Calculated values
ΔE_f (raw)   -0.0214 eV per atom
Offset from the most stable computed form   0.00 eV per formula unit
Electronic total energy   -3.912 eV/atom

Structure (POSCAR):
```
BiTeAs
1.0
-4.801 0.780 -3.462
3.933 -1.527 -0.650
-3.379 -10.031 2.425
Bi As Te
2 2 2
Cartesian
0.152 -2.943 -0.874
-4.399 -7.835 -0.813
-0.728 -5.564 -0.244
-3.519 -5.214 -1.443
-2.183 -9.067 0.984
-2.064 -1.710 -2.671
```


No. 5
Material: BiTe3As
Method: DFT, GGA-PBE
State: relaxed

Calculated values
ΔE_f (raw)   0.0010 eV per atom
Offset from the most stable computed form   0.44 eV per formula unit
Electronic total energy   -3.590 eV/atom

Structure (POSCAR):
```
BiTe3As
1.0
-5.279 0.611 -1.241
-1.705 -2.538 6.004
1.905 11.401 -2.492
Bi Te As
2 6 2
Cartesian
-1.157 1.782 -0.202
-3.922 7.691 2.473
0.106 10.682 -1.194
-5.185 -1.208 3.465
-2.082 1.923 3.804
-2.997 7.551 -1.532
-1.135 6.139 1.852
-3.944 3.334 0.420
-0.487 6.662 -0.650
-4.592 2.812 2.922
```


No. 6
Material: BiTeAs2
Method: DFT, GGA-PBE
State: relaxed

Calculated values
ΔE_f (raw)   0.3441 eV per atom
Offset from the most stable computed form   0.38 eV per formula unit
Electronic total energy   -3.736 eV/atom

Structure (POSCAR):
```
BiTeAs2
1.0
0.000 3.644 3.644
3.644 0.000 3.644
3.644 3.644 0.000
As Te Bi
2 1 1
Cartesian
1.822 1.822 1.822
5.466 5.466 5.466
0.000 0.000 0.000
3.644 3.644 3.644
```


No. 7
Material: Bi2TeAs2
Method: DFT, GGA-PBE
State: relaxed

Calculated values
ΔE_f (raw)   0.2114 eV per atom
Offset from the most stable computed form   0.47 eV per formula unit
Electronic total energy   -3.829 eV/atom

Structure (POSCAR):
```
Bi2TeAs2
1.0
-6.119 -3.919 -3.859
3.358 -7.234 2.021
-2.095 -0.035 3.356
As Te Bi
4 2 4
Cartesian
0.730 -7.449 0.379
-2.958 -8.054 -1.929
-3.491 -3.703 -2.217
0.197 -3.098 0.091
0.000 0.000 0.000
-1.380 -5.576 -0.919
0.203 -5.366 2.403
-2.220 -8.696 0.857
-5.058 -5.821 -0.885
-2.635 -2.491 0.661
```


No. 8
Material: BiTeAs
Method: DFT, GGA-PBE
State: relaxed

Calculated values
ΔE_f (raw)   0.2903 eV per atom
Offset from the most stable computed form   0.94 eV per formula unit
Electronic total energy   -3.600 eV/atom

Structure (POSCAR):
```
BiTeAs
1.0
3.427 0.000 0.000
0.000 5.186 0.000
0.000 -2.593 4.491
As Te Bi
1 1 1
Cartesian
1.001 2.593 1.497
2.163 0.000 2.994
0.263 0.000 0.000
```


No. 9
Material: Bi3Te12As5
Method: DFT, GGA-PBE
State: relaxed

Calculated values
ΔE_f (raw)   0.0917 eV per atom
Electronic total energy   -3.538 eV/atom

Structure (POSCAR):
```
Bi3Te12As5
1.0
15.357 0.000 0.000
-5.119 14.479 0.000
-5.119 -7.239 12.539
Bi As Te
12 20 48
Cartesian
8.958 4.525 1.567
8.958 9.954 1.567
-1.280 6.334 7.837
1.280 -0.905 4.702
11.518 0.000 3.135
1.280 7.239 3.135
3.839 0.000 9.404
-6.399 7.239 9.404
3.839 8.144 7.837
6.399 0.905 4.702
-3.839 -2.715 10.971
-3.839 2.715 10.971
-1.280 3.620 3.135
-2.559 7.239 0.000
0.000 0.000 0.000
3.839 2.715 1.567
5.119 -3.620 6.269
5.119 7.239 0.000
-3.839 8.144 4.702
6.399 -4.525 10.971
6.399 6.334 4.702
1.280 -3.620 9.404
3.839 10.859 3.135
2.559 3.620 6.269
7.678 0.000 0.000
-2.559 -3.620 6.269
-1.280 0.905 7.837
-1.280 11.764 1.567
-5.119 3.620 6.269
8.958 -0.905 7.837
1.280 4.525 10.971
6.399 3.620 9.404
10.088 1.579 0.510
0.150 4.851 5.157
11.369 3.292 3.591
6.547 2.156 1.622
1.874 5.460 8.438
10.834 7.272 2.168
-1.132 8.376 5.214
-3.987 12.323 1.622
0.686 9.019 8.438
7.083 7.206 2.168
7.828 3.968 4.647
7.828 12.899 0.510
-4.433 6.418 6.779
3.155 5.345 1.056
-5.269 10.511 4.647
2.709 -2.389 7.382
-0.686 0.958 2.678
3.155 9.101 1.113
6.547 11.186 3.591
-0.596 5.378 1.113
-3.245 8.197 9.861
3.691 6.103 5.214
6.993 8.061 6.779
5.715 -1.894 11.483
1.428 1.137 7.325
-1.874 -0.822 5.760
-0.596 9.134 1.056
-1.428 -3.947 8.947
8.364 -0.958 2.678
5.715 1.861 11.426
1.964 -1.861 11.426
2.409 9.628 5.157
5.805 6.282 9.861
10.388 -3.271 7.892
9.552 0.822 5.760
-2.709 -5.660 12.029
1.964 1.894 11.483
4.433 -1.779 4.101
-1.964 0.033 10.370
-2.709 3.271 7.892
9.106 -5.084 10.916
6.251 -1.137 7.325
-1.428 5.084 10.916
-5.715 -0.033 10.370
3.245 1.779 4.101
-6.251 3.947 8.947
4.969 2.389 7.382
-4.969 5.660 12.029
```


No. 10
Material: Bi4TeAs3
Method: DFT, GGA-PBE
State: relaxed

Calculated values
ΔE_f (raw)   -0.0244 eV per atom
Electronic total energy   -4.101 eV/atom

Structure (POSCAR):
```
Bi4TeAs3
1.0
-4.048 0.648 0.873
0.160 -5.854 5.098
1.965 3.012 6.883
As Te Bi
3 1 4
Cartesian
-1.072 1.770 3.780
-2.135 3.534 7.604
-3.026 -0.880 6.753
-0.013 0.343 9.753
-2.453 -1.652 9.985
-1.345 -3.121 6.150
-3.451 0.053 4.085
-0.483 1.335 6.839
```


No. 11
Material: BiTe3As
Method: DFT, GGA-PBE
State: relaxed

Calculated values
ΔE_f (raw)   0.3951 eV per atom
Offset from the most stable computed form   2.41 eV per formula unit
Electronic total energy   -3.196 eV/atom

Structure (POSCAR):
```
BiTe3As
1.0
5.427 0.000 0.000
0.000 5.427 0.000
0.000 0.000 5.427
As Te Bi
1 3 1
Cartesian
0.000 0.000 0.000
0.000 2.713 0.000
0.000 0.000 2.713
2.713 0.000 0.000
2.713 2.713 2.713
```


No. 12
Material: Bi3Te2As
Method: DFT, GGA-PBE
State: relaxed

Calculated values
ΔE_f (raw)   -0.0482 eV per atom
Electronic total energy   -3.811 eV/atom

Structure (POSCAR):
```
Bi3Te2As
1.0
-4.896 -4.101 3.538
1.585 -4.684 -6.396
5.549 1.088 5.779
Bi Te As
6 4 2
Cartesian
2.254 -0.641 0.793
-0.793 -3.563 0.724
0.793 -2.342 -3.198
-0.016 -7.056 2.128
0.326 -1.507 4.659
3.030 -4.134 2.196
0.680 -5.245 -4.532
3.368 -1.330 3.725
1.557 -2.453 7.452
-1.131 -6.367 -0.805
1.987 -3.342 -0.518
0.251 -4.355 3.439
```


No. 13
Material: BiTeAs3
Method: DFT, GGA-PBE
State: relaxed

Calculated values
ΔE_f (raw)   0.8656 eV per atom
Offset from the most stable computed form   0.00 eV per formula unit
Electronic total energy   -3.329 eV/atom

Structure (POSCAR):
```
BiTeAs3
1.0
-3.853 0.407 -3.615
3.212 -2.092 -3.659
-1.708 -4.851 1.275
As Te Bi
3 1 1
Cartesian
1.606 -1.046 -1.829
-0.854 -2.426 0.637
-1.926 0.204 -1.807
0.000 0.000 0.000
-1.175 -3.268 -2.999
```


No. 14
Material: Th4BiTe2As
Method: DFT, GGA-PBE
State: relaxed

Calculated values
ΔE_f (raw)   -1.0000 eV per atom
Electronic total energy   -6.562 eV/atom

Structure (POSCAR):
```
Th4BiTe2As
1.0
-4.086 0.490 -1.662
-1.122 -7.667 0.499
-2.269 3.338 6.563
Th Bi Te As
4 1 2 1
Cartesian
-2.897 -1.037 0.891
-4.580 -2.803 4.509
-2.068 0.437 5.214
-1.323 -4.766 1.848
0.000 0.000 0.000
-3.178 1.914 2.451
-1.695 -2.165 3.531
-2.604 -3.589 -0.581
```


No. 15
Material: Th8BiTe4As3
Method: DFT, GGA-PBE
State: relaxed

Calculated values
ΔE_f (raw)   -1.1202 eV per atom
Electronic total energy   -6.730 eV/atom

Structure (POSCAR):
```
Th8BiTe4As3
1.0
-4.076 6.836 -3.668
2.137 -3.057 -8.072
-4.317 -5.196 5.581
Th Bi Te As
8 1 4 3
Cartesian
-3.686 -5.560 -1.369
-1.666 -3.129 -3.980
-2.713 -1.795 -0.330
-5.593 -2.362 -3.085
-0.663 0.944 -3.074
-3.543 0.377 -5.828
-4.590 1.711 -2.179
-2.570 4.142 -4.790
1.068 -1.529 -4.036
-2.038 3.418 -1.834
-4.196 0.820 0.957
0.000 0.000 0.000
-2.159 -2.598 2.791
-0.969 1.889 -5.870
-3.128 -0.709 -3.079
-1.090 -4.127 -1.245
```


No. 16
Material: Tm6Bi2TeAs3
Method: DFT, GGA-PBE
State: relaxed

Calculated values
ΔE_f (raw)   -1.2311 eV per atom
Electronic total energy   -5.538 eV/atom

Structure (POSCAR):
```
Tm6Bi2TeAs3
1.0
4.199 0.000 0.000
0.000 8.500 0.235
-2.100 -2.524 8.883
Tm Bi Te As
6 2 1 3
Cartesian
0.000 6.255 6.031
2.100 4.261 3.003
2.100 -0.280 3.088
2.100 -0.228 8.851
0.000 6.204 0.268
0.000 1.714 6.116
2.100 3.991 6.087
0.000 1.985 3.032
2.100 0.000 0.000
2.100 4.250 0.118
2.100 -0.277 5.980
0.000 6.253 3.138
```


No. 17
Material: Tm4BiTe2As
Method: DFT, GGA-PBE
State: relaxed

Calculated values
ΔE_f (raw)   -1.1914 eV per atom
Electronic total energy   -5.279 eV/atom

Structure (POSCAR):
```
Tm4BiTe2As
1.0
-0.781 -1.931 -3.714
3.797 -5.950 2.295
-4.652 -4.712 3.429
Tm Bi Te As
4 1 2 1
Cartesian
-0.629 -7.834 4.206
-1.007 -4.759 -2.196
1.073 -6.572 0.751
-2.709 -6.021 1.260
-3.144 -8.653 2.720
-4.652 -4.712 3.429
-2.716 -3.322 -0.142
-0.427 -5.331 2.862
```


No. 18
Material: Tm4Bi2TeAs
Method: DFT, GGA-PBE
State: relaxed

Calculated values
ΔE_f (raw)   -1.0662 eV per atom
Electronic total energy   -5.246 eV/atom

Structure (POSCAR):
```
Tm4Bi2TeAs
1.0
-0.550 2.925 3.093
4.480 -3.922 4.505
4.092 4.885 -3.893
Tm Bi Te As
4 2 1 1
Cartesian
1.714 1.692 1.683
6.309 2.196 2.022
4.172 2.771 -1.879
4.400 -1.808 2.491
1.771 3.905 -0.400
4.286 0.482 0.306
1.965 -0.499 3.799
0.000 0.000 0.000
```


No. 19
Material: Y8Bi3Te4As
Method: DFT, GGA-PBE
State: relaxed

Calculated values
ΔE_f (raw)   -1.2092 eV per atom
Electronic total energy   -6.245 eV/atom

Structure (POSCAR):
```
Y8Bi3Te4As
1.0
-0.770 -1.046 8.686
-3.666 -7.858 -1.271
7.834 1.824 -3.526
Y Bi Te As
8 3 4 1
Cartesian
4.955 -4.198 -2.414
0.814 -5.162 -0.549
2.810 -1.324 0.090
4.548 -4.751 2.178
-1.149 -2.329 1.711
0.589 -5.756 3.800
2.585 -1.917 4.438
-1.556 -2.881 6.303
-2.218 -4.452 3.708
1.699 -3.540 1.945
2.084 -3.017 -2.399
-0.385 -0.523 4.343
3.532 0.389 2.580
0.000 0.000 0.000
3.917 0.912 -1.763
-1.833 -3.929 -0.635
```


No. 20
Material: Y8BiTe4As3
Method: DFT, GGA-PBE
State: relaxed

Calculated values
ΔE_f (raw)   -1.4029 eV per atom
Electronic total energy   -6.535 eV/atom

Structure (POSCAR):
```
Y8BiTe4As3
1.0
-4.993 -5.312 4.455
-1.274 -4.759 -7.103
7.968 1.595 2.640
Y Bi Te As
8 1 4 3
Cartesian
5.602 -3.223 -1.464
1.810 -3.982 -2.720
2.495 -1.899 0.531
3.226 -5.751 0.656
-1.524 -2.725 -0.664
-0.794 -6.577 -0.540
-0.109 -4.494 2.712
-3.900 -5.253 1.455
-0.637 -2.380 -3.552
-2.496 -2.656 2.227
1.488 -1.858 3.547
0.000 0.000 0.000
3.984 0.798 1.320
-3.133 -5.036 -1.324
0.851 -4.238 -0.004
3.347 -1.582 -2.232
```